1.
Cr2MoIr | PBE | relaxed

energy relative to the elements: 0.35 eV per formula unit

Unit cell a=4.6624 b=4.6624 c=4.6270 alpha=98.93 beta=98.93 gamma=33.35
Last column: nearest neighbours and their distance in Å.
Atoms (fractional coordinates):
Cr (0.0000, 0.0000, 0.0000)  4 Ir 2.57-2.78, 3 Mo 2.61-2.79, 5 Cr 2.66-2.68
Cr (0.7472, 0.7472, 0.2388)  3 Ir 2.60-2.71, 4 Mo 2.66-2.69, 5 Cr 2.66-2.68
Mo (0.2384, 0.2384, 0.7396)  7 Cr 2.61-2.79, 2 Mo 2.68, 3 Ir 2.72-2.73
Ir (0.4869, 0.4869, 0.4704)  7 Cr 2.57-2.78, 2 Ir 2.68, 3 Mo 2.72-2.73

---

2.
Cr2MoIr | PBE | relaxed

energy relative to the elements: 2.86 eV per formula unit

Unit cell a=8.7441 b=8.7441 c=8.7441 alpha=154.93 beta=154.93 gamma=35.75
Last column: nearest neighbours and their distance in Å.
Atoms (fractional coordinates):
Cr (0.1159, 0.6250, 0.9909)  2 Mo 2.46, 2 Ir 2.49, 4 Cr 2.64-2.73
Cr (0.3750, 0.3659, 0.4909)  2 Mo 2.46, 2 Ir 2.49, 4 Cr 2.64-2.73
Cr (0.6341, 0.1250, 0.0091)  2 Mo 2.46, 2 Ir 2.49, 4 Cr 2.64-2.73
Cr (0.8750, 0.8841, 0.5091)  2 Mo 2.46, 2 Ir 2.49, 4 Cr 2.64-2.73
Mo (0.0000, 0.0000, 0.0000)  4 Cr 2.46, 4 Ir 2.68
Mo (0.7500, 0.2500, 0.5000)  4 Cr 2.46, 4 Ir 2.68
Ir (0.2500, 0.7500, 0.5000)  4 Cr 2.49, 4 Mo 2.68
Ir (0.5000, 0.5000, 0.0000)  4 Cr 2.49, 4 Mo 2.68